The following is a PBE calculation of Nd2GaAg after structural relaxation, from Alexandria via LeMat-Bulk.

a = 3.6674 Å, b = 3.6674 Å, c = 7.6731 Å
α = 90.00°, β = 90.00°, γ = 90.00°
Element x y z (fractional)
Nd (0.0000, 0.0000, 0.2418)
Nd (0.0000, 0.0000, 0.7582)
Ag (0.5000, 0.5000, 0.5000)
Ga (0.5000, 0.5000, 0.0000)

Formation enthalpy at 0 K = -0.41 eV/atom
DOS(E_F) = 4.4 states/eV/f.u.
SG = P4/mmm (123)
Uncorrected energy = -4.264 eV/atom

The following is a PBE calculation of K2HfRh after structural relaxation, from Alexandria via LeMat-Bulk.

a = 12.4826 Å, b = 12.4826 Å, c = 9.1418 Å
α = 46.94°, β = 46.94°, γ = 90.00°
Element x y z (fractional)
Rh (0.2500, 0.7500, 0.5000)
Rh (0.5000, 0.5000, 0.0000)
Hf (0.7500, 0.2500, 0.5000)
Hf (0.0000, 0.0000, 0.0000)
K (0.2786, 0.6250, 0.2500)
K (0.4714, 0.1250, 0.2500)
K (0.3750, 0.5286, 0.7500)
K (0.8750, 0.7214, 0.7500)

Formation enthalpy at 0 K = 0.70 eV/atom
DOS(E_F) = 4.6 states/eV/f.u.
Relative energy among the computed polymorphs = 0 meV/atom
SG = I-42d (122)
Uncorrected energy = -4.178 eV/atom

The following is a PBE calculation of Li3Mg4Hg after structural relaxation, from Alexandria via LeMat-Bulk.

a = 3.9733 Å, b = 3.4304 Å, c = 13.0366 Å
α = 97.72°, β = 98.77°, γ = 90.00°
Element x y z (fractional)
Li (0.1544, 0.1529, 0.3088)
Li (0.0000, 0.5000, 0.0000)
Li (0.8456, 0.8471, 0.6912)
Mg (0.5924, 0.5897, 0.1848)
Mg (0.7159, 0.7141, 0.4318)
Mg (0.2841, 0.2859, 0.5682)
Mg (0.4076, 0.4103, 0.8152)
Hg (0.5000, 0.0000, 0.0000)

Formation enthalpy at 0 K = -0.06 eV/atom
DOS(E_F) = 3.1 states/eV/f.u.
Relative energy among the computed polymorphs = 90 meV/atom
SG = C2/m (12)
Uncorrected energy = -1.616 eV/atom

The following is a PBE calculation of Ba2NpVN5 after structural relaxation, from Alexandria via LeMat-Bulk.

a = 3.5961 Å, b = 7.7652 Å, c = 11.6610 Å
α = 90.00°, β = 90.00°, γ = 103.39°
Each line ends with the local moment (μB).
Element x y z (fractional)
N (0.7086, 0.4173, 0.1370)  -0.08
N (0.3283, 0.6566, 0.0081)  -0.07
N (0.6734, 0.3467, 0.9069)  -0.04
N (0.0523, 0.1046, 0.0027)  -0.04
N (0.2914, 0.5827, 0.6370)  -0.08
N (0.4994, 0.9988, 0.3058)  -0.01
N (0.3266, 0.6533, 0.4069)  -0.04
N (0.6717, 0.3434, 0.5081)  -0.07
N (0.9477, 0.8954, 0.5027)  -0.04
N (0.5006, 0.0012, 0.8058)  -0.01
Ba (0.8619, 0.7238, 0.8253)  0.00
Ba (0.1079, 0.2159, 0.6752)  0.00
Ba (0.8921, 0.7841, 0.1752)  0.00
Ba (0.1381, 0.2762, 0.3253)  0.00
Np (0.7998, 0.5996, 0.5291)  1.18
Np (0.2002, 0.4004, 0.0291)  1.18
V (0.5528, 0.1056, 0.9339)  0.10
V (0.4472, 0.8944, 0.4339)  0.10

DOS(E_F) = 4.3 states/eV/f.u.
SG = Cmc2_1 (36)
Uncorrected energy = -8.408 eV/atom
Raw formation energy = -905 meV per atom